[1]
Entry from Alexandria: a PBEsol-optimized structure of Ca2SbMo (meta-GGA SCAN).

Lattice parameters (Å, degrees): 3.553 3.553 8.341 90.00 90.00 90.00
Fractional coordinates of all 4 atoms:
Sb: 0.500 0.500 0.692
Mo: 0.000 0.000 0.557
Ca: 0.000 0.000 0.936
Ca: 0.500 0.500 0.315

For the energy relative to the elements, uncorrected, the calculation gives 0.0044 eV per atom. For the total magnetization, the calculation gives 0.18 μB per atom.

[2]
Entry from Alexandria: a PBEsol-optimized structure of CaSc2Mo (meta-GGA SCAN).

Lattice parameters (Å, degrees): 4.950 4.950 4.950 60.00 60.00 60.00
Fractional coordinates of all 4 atoms:
Sc: 0.000 0.000 0.000
Sc: 0.250 0.250 0.250
Mo: 0.750 0.750 0.750
Ca: 0.500 0.500 0.500

As for the energy of formation: 0.60 eV per atom. The energy relative to the lowest polymorph listed for this composition is 90 kJ/mol of formula units. For the total magnetization, the calculation gives 0.00 μB per atom.

[3]
Entry from Alexandria: a PBEsol-optimized structure of CaSc2Mo (meta-GGA SCAN).

Lattice parameters (Å, degrees): 3.012 5.075 6.346 92.53 90.00 107.26
Fractional coordinates of all 4 atoms:
Sc: 0.003 0.006 0.034
Sc: 0.256 0.512 0.802
Mo: 0.743 0.487 0.181
Ca: 0.497 0.995 0.483

As for the energy of formation: 0.46 eV per atom. The energy relative to the lowest polymorph listed for this composition is 34 kJ/mol of formula units. For the total magnetization, the calculation gives 0.03 μB per atom.

[4]
Entry from Alexandria: a PBEsol-optimized structure of CaSc2Mo (meta-GGA SCAN).

Lattice parameters (Å, degrees): 3.554 3.554 7.532 90.00 90.00 90.00
Fractional coordinates of all 4 atoms:
Sc: 0.000 0.000 0.953
Sc: 0.500 0.500 0.188
Mo: 0.500 0.500 0.819
Ca: 0.000 0.000 0.540

As for the energy of formation: 0.37 eV per atom. The energy relative to the lowest polymorph listed for this composition is 0 kJ/mol of formula units. For the total magnetization, the calculation gives 0.00 μB per atom.

[5]
Entry from Alexandria: a PBEsol-optimized structure of CaSc2Mo (meta-GGA SCAN).

Lattice parameters (Å, degrees): 3.254 5.670 6.047 117.96 105.61 90.00
Fractional coordinates of all 4 atoms:
Sc: 0.703 0.703 0.407
Sc: 0.297 0.297 0.593
Mo: 0.000 0.500 0.000
Ca: 0.500 0.000 0.000

As for the energy of formation: 0.38 eV per atom. The energy relative to the lowest polymorph listed for this composition is 5 kJ/mol of formula units. For the total magnetization, the calculation gives 0.00 μB per atom.

[6]
Entry from Alexandria: a PBEsol-optimized structure of CaMo2Se (meta-GGA SCAN).

Lattice parameters (Å, degrees): 3.405 4.147 5.077 90.00 90.00 90.00
Fractional coordinates of all 4 atoms:
Mo: 0.000 0.000 0.000
Mo: 0.500 0.500 0.000
Ca: 0.000 0.500 0.500
Se: 0.500 0.000 0.500

For the energy relative to the elements, uncorrected, the calculation gives 0.3281 eV per atom. For the total magnetization, the calculation gives 0.00 μB per atom.

[7]
Entry from Alexandria: a PBEsol-optimized structure of CaMo2Se (meta-GGA SCAN).

Lattice parameters (Å, degrees): 3.185 4.595 5.789 107.63 105.96 90.00
Fractional coordinates of all 4 atoms:
Mo: 0.784 0.844 0.569
Mo: 0.216 0.156 0.431
Ca: 0.000 0.500 0.000
Se: 0.500 0.000 0.000

For the energy relative to the elements, uncorrected, the calculation gives 0.1685 eV per atom. For the total magnetization, the calculation gives 0.00 μB per atom.

[8]
Entry from Alexandria: a PBEsol-optimized structure of CaMo2Se (meta-GGA SCAN).

Lattice parameters (Å, degrees): 2.950 5.262 5.262 119.52 90.00 90.00
Fractional coordinates of all 4 atoms:
Mo: 0.000 0.500 0.000
Mo: 0.000 0.000 0.500
Ca: 0.500 0.500 0.500
Se: 0.500 0.000 0.000

For the energy relative to the elements, uncorrected, the calculation gives 0.7413 eV per atom. For the total magnetization, the calculation gives 0.00 μB per atom.

[9]
Entry from Alexandria: a PBEsol-optimized structure of Ca2MoSe (meta-GGA SCAN).

Lattice parameters (Å, degrees): 4.413 4.413 5.358 114.32 114.32 90.00
Fractional coordinates of all 4 atoms:
Mo: 0.500 0.500 0.000
Ca: 0.750 0.250 0.500
Ca: 0.250 0.750 0.500
Se: 0.000 0.000 0.000

For the energy relative to the elements, uncorrected, the calculation gives 0.2269 eV per atom. For the total magnetization, the calculation gives 0.55 μB per atom.

[10]
Entry from Alexandria: a PBEsol-optimized structure of Ca2SiMo (meta-GGA SCAN).

Lattice parameters (Å, degrees): 4.086 4.191 6.035 110.32 90.00 90.00
Fractional coordinates of all 4 atoms:
Ca: 0.000 0.982 0.963
Ca: 0.500 0.270 0.541
Mo: 0.000 0.680 0.361
Si: 0.500 0.569 0.138

For the energy relative to the elements, uncorrected, the calculation gives 0.2071 eV per atom. For the total magnetization, the calculation gives 0.20 μB per atom.

[11]
Entry from Alexandria: a PBEsol-optimized structure of Sr2CaMo (meta-GGA SCAN).

Lattice parameters (Å, degrees): 3.819 5.880 7.042 114.68 105.73 90.00
Fractional coordinates of all 4 atoms:
Sr: 0.701 0.701 0.403
Sr: 0.299 0.299 0.597
Mo: 0.000 0.500 0.000
Ca: 0.500 0.000 0.000

As for the energy of formation: 0.77 eV per atom. The energy relative to the lowest polymorph listed for this composition is 0 kJ/mol of formula units. For the total magnetization, the calculation gives 0.67 μB per atom.

[12]
Entry from Alexandria: a PBEsol-optimized structure of Sr2CaMo (meta-GGA SCAN).

Lattice parameters (Å, degrees): 3.653 3.653 11.823 81.11 81.11 60.00
Fractional coordinates of all 4 atoms:
Sr: 0.267 0.267 0.200
Sr: 0.733 0.733 0.800
Mo: 0.000 0.000 0.000
Ca: 0.500 0.500 0.500

As for the energy of formation: 0.87 eV per atom. The energy relative to the lowest polymorph listed for this composition is 37 kJ/mol of formula units. For the total magnetization, the calculation gives 0.57 μB per atom.

[13]
Entry from Alexandria: a PBEsol-optimized structure of CaTaMo (meta-GGA SCAN).

Lattice parameters (Å, degrees): 2.910 2.910 7.871 90.00 90.00 120.00
Fractional coordinates of all 3 atoms:
Mo: 0.333 0.667 0.656
Ca: 0.000 0.000 0.992
Ta: 0.667 0.333 0.351

As for the energy of formation: 0.89 eV per atom. For the total magnetization, the calculation gives 0.00 μB per atom.

[14]
Entry from Alexandria: a PBEsol-optimized structure of Ca2TaMo (meta-GGA SCAN).

Lattice parameters (Å, degrees): 2.843 5.272 5.601 90.00 98.41 90.00
Fractional coordinates of all 4 atoms:
Mo: 0.500 0.500 0.000
Ca: 0.010 0.000 0.753
Ca: 0.990 0.000 0.247
Ta: 0.500 0.500 0.500

As for the energy of formation: 0.88 eV per atom. For the total magnetization, the calculation gives 0.00 μB per atom.

[15]
Entry from Alexandria: a PBEsol-optimized structure of CaTcMo2 (meta-GGA SCAN).

Lattice parameters (Å, degrees): 4.514 4.514 4.514 60.00 60.00 60.00
Fractional coordinates of all 4 atoms:
Mo: 0.750 0.750 0.750
Mo: 0.250 0.250 0.250
Ca: 0.000 0.000 0.000
Tc: 0.500 0.500 0.500

As for the energy of formation: 0.72 eV per atom. The energy relative to the lowest polymorph listed for this composition is 50 kJ/mol of formula units. For the total magnetization, the calculation gives 0.00 μB per atom.

[16]
Entry from Alexandria: a PBEsol-optimized structure of Ca4TcMo (meta-GGA SCAN).

Lattice parameters (Å, degrees): 5.993 5.993 5.993 60.00 60.00 60.00
Fractional coordinates of all 6 atoms:
Ca: 0.375 0.375 0.375
Ca: 0.375 0.375 0.876
Ca: 0.876 0.375 0.375
Ca: 0.375 0.876 0.375
Mo: 0.750 0.750 0.750
Tc: 0.000 0.000 0.000

As for the energy of formation: 1.50 eV per atom. For the total magnetization, the calculation gives 1.14 μB per atom.

[17]
Entry from Alexandria: a PBEsol-optimized structure of CaTcMo (meta-GGA SCAN).

Lattice parameters (Å, degrees): 2.690 4.687 4.687 120.00 90.00 90.00
Fractional coordinates of all 3 atoms:
Mo: 0.625 0.333 0.667
Ca: 0.997 0.000 0.000
Tc: 0.378 0.667 0.333

As for the energy of formation: 0.64 eV per atom. For the total magnetization, the calculation gives 0.00 μB per atom.

[18]
Entry from Alexandria: a PBEsol-optimized structure of Ca2TcMo (meta-GGA SCAN).

Lattice parameters (Å, degrees): 2.750 5.486 5.728 118.61 90.00 90.00
Fractional coordinates of all 4 atoms:
Mo: 0.500 0.000 0.000
Ca: 0.000 0.500 0.500
Ca: 0.000 0.000 0.500
Tc: 0.500 0.500 0.000

As for the energy of formation: 0.83 eV per atom. The energy relative to the lowest polymorph listed for this composition is 87 kJ/mol of formula units. For the total magnetization, the calculation gives 0.00 μB per atom.

[19]
Entry from Alexandria: a PBEsol-optimized structure of CaTcMo2 (meta-GGA SCAN).

Lattice parameters (Å, degrees): 2.621 5.287 5.486 118.81 90.00 90.00
Fractional coordinates of all 4 atoms:
Mo: 0.000 0.500 0.500
Mo: 0.000 0.000 0.500
Ca: 0.500 0.500 0.000
Tc: 0.500 0.000 0.000

As for the energy of formation: 0.77 eV per atom. The energy relative to the lowest polymorph listed for this composition is 68 kJ/mol of formula units. For the total magnetization, the calculation gives 0.00 μB per atom.

[20]
Entry from Alexandria: a PBEsol-optimized structure of CaTcMo2 (meta-GGA SCAN).

Lattice parameters (Å, degrees): 2.659 5.336 5.459 116.34 98.81 100.65
Fractional coordinates of all 4 atoms:
Mo: 0.000 0.000 0.500
Mo: 0.500 0.500 0.500
Ca: 0.500 0.000 0.000
Tc: 0.000 0.500 0.000

As for the energy of formation: 0.65 eV per atom. The energy relative to the lowest polymorph listed for this composition is 24 kJ/mol of formula units. For the total magnetization, the calculation gives 0.00 μB per atom.

[21]
Entry from Alexandria: a PBEsol-optimized structure of Ca2TcMo (meta-GGA SCAN).

Lattice parameters (Å, degrees): 3.298 3.298 10.149 80.65 80.65 60.00
Fractional coordinates of all 4 atoms:
Mo: 0.518 0.518 0.447
Ca: 0.983 0.983 0.052
Ca: 0.764 0.764 0.707
Tc: 0.235 0.235 0.295

As for the energy of formation: 0.60 eV per atom. The energy relative to the lowest polymorph listed for this composition is 0 kJ/mol of formula units. For the total magnetization, the calculation gives 0.00 μB per atom.

[22]
Entry from Alexandria: a PBEsol-optimized structure of CaTcMo2 (meta-GGA SCAN).

Lattice parameters (Å, degrees): 3.087 5.130 5.176 109.19 90.00 107.51
Fractional coordinates of all 4 atoms:
Mo: 0.968 0.937 0.919
Mo: 0.249 0.497 0.746
Ca: 0.753 0.507 0.253
Tc: 0.530 0.059 0.581

As for the energy of formation: 0.59 eV per atom. The energy relative to the lowest polymorph listed for this composition is 0 kJ/mol of formula units. For the total magnetization, the calculation gives 0.00 μB per atom.

[23]
Entry from Alexandria: a PBEsol-optimized structure of CaTcMo2 (meta-GGA SCAN).

Lattice parameters (Å, degrees): 3.107 4.803 5.350 116.67 106.88 90.00
Fractional coordinates of all 4 atoms:
Mo: 0.020 0.020 0.041
Mo: 0.753 0.253 0.507
Ca: 0.247 0.747 0.494
Tc: 0.479 0.479 0.958

As for the energy of formation: 0.63 eV per atom. The energy relative to the lowest polymorph listed for this composition is 15 kJ/mol of formula units. For the total magnetization, the calculation gives 0.00 μB per atom.

[24]
Entry from Alexandria: a PBEsol-optimized structure of CaTeMo3 (meta-GGA SCAN).

Lattice parameters (Å, degrees): 4.650 4.650 4.650 90.00 90.00 90.00
Fractional coordinates of all 5 atoms:
Mo: 0.000 0.500 0.000
Mo: 0.000 0.000 0.500
Mo: 0.500 0.000 0.000
Te: 0.500 0.500 0.500
Ca: 0.000 0.000 0.000

For the energy relative to the elements, uncorrected, the calculation gives 2.7024 eV per atom. For the total magnetization, the calculation gives 0.81 μB per atom.

[25]
Entry from Alexandria: a PBEsol-optimized structure of Ca4TeMo (meta-GGA SCAN).

Lattice parameters (Å, degrees): 6.385 6.385 6.385 60.00 60.00 60.00
Fractional coordinates of all 6 atoms:
Ca: 0.376 0.376 0.376
Ca: 0.376 0.376 0.873
Ca: 0.873 0.376 0.376
Ca: 0.376 0.873 0.376
Mo: 0.750 0.750 0.750
Te: 0.000 0.000 0.000

For the energy relative to the elements, uncorrected, the calculation gives 0.6366 eV per atom. For the total magnetization, the calculation gives 0.55 μB per atom.

[26]
Entry from Alexandria: a PBEsol-optimized structure of Ca2TeMo (meta-GGA SCAN).

Lattice parameters (Å, degrees): 3.528 3.528 8.490 90.00 90.00 90.00
Fractional coordinates of all 4 atoms:
Mo: 0.000 0.000 0.558
Te: 0.500 0.500 0.690
Ca: 0.000 0.000 0.940
Ca: 0.500 0.500 0.312

For the energy relative to the elements, uncorrected, the calculation gives -0.0140 eV per atom. For the total magnetization, the calculation gives 0.05 μB per atom.

[27]
Entry from Alexandria: a PBEsol-optimized structure of CaTe3Mo (meta-GGA SCAN).

Lattice parameters (Å, degrees): 5.320 5.320 5.320 90.00 90.00 90.00
Fractional coordinates of all 5 atoms:
Mo: 0.000 0.000 0.000
Te: 0.000 0.500 0.000
Te: 0.000 0.000 0.500
Te: 0.500 0.000 0.000
Ca: 0.500 0.500 0.500

For the energy relative to the elements, uncorrected, the calculation gives -0.1565 eV per atom. For the total magnetization, the calculation gives 0.49 μB per atom.

[28]
Entry from Alexandria: a PBEsol-optimized structure of Ca2TeMo (meta-GGA SCAN).

Lattice parameters (Å, degrees): 3.850 4.693 6.396 111.52 90.00 90.00
Fractional coordinates of all 4 atoms:
Mo: 0.000 0.830 0.661
Te: 0.500 0.673 0.346
Ca: 0.000 0.099 0.197
Ca: 0.500 0.395 0.789

For the energy relative to the elements, uncorrected, the calculation gives -0.0631 eV per atom. For the total magnetization, the calculation gives 0.55 μB per atom.

[29]
Entry from Alexandria: a PBEsol-optimized structure of CaTi2Mo (meta-GGA SCAN).

Lattice parameters (Å, degrees): 4.681 4.681 4.681 60.00 60.00 60.00
Fractional coordinates of all 4 atoms:
Mo: 0.500 0.500 0.500
Ca: 0.000 0.000 0.000
Ti: 0.250 0.250 0.250
Ti: 0.750 0.750 0.750

As for the energy of formation: 0.50 eV per atom. For the total magnetization, the calculation gives 0.00 μB per atom.

[30]
Entry from Alexandria: a PBEsol-optimized structure of CaTi3Mo (meta-GGA SCAN).

Lattice parameters (Å, degrees): 4.805 4.805 4.805 90.00 90.00 90.00
Fractional coordinates of all 5 atoms:
Mo: 0.000 0.000 0.000
Ca: 0.500 0.500 0.500
Ti: 0.000 0.500 0.000
Ti: 0.000 0.000 0.500
Ti: 0.500 0.000 0.000

As for the energy of formation: 0.54 eV per atom. For the total magnetization, the calculation gives 0.37 μB per atom.

[31]
Entry from Alexandria: a PBEsol-optimized structure of CaTlMo (meta-GGA SCAN).

Lattice parameters (Å, degrees): 3.174 3.174 7.491 90.00 90.00 120.00
Fractional coordinates of all 3 atoms:
Tl: 0.667 0.333 0.353
Ca: 0.000 0.000 0.987
Mo: 0.333 0.667 0.660

As for the energy of formation: 0.67 eV per atom. For the total magnetization, the calculation gives 0.00 μB per atom.

| no. | volume (A^3/atom) |
| --- | --- |
| 1 | 26.33 |
| 2 | 21.44 |
| 3 | 23.13 |
| 4 | 23.79 |
| 5 | 23.46 |
| 6 | 17.92 |
| 7 | 19.33 |
| 8 | 17.77 |
| 9 | 21.21 |
| 10 | 24.22 |
| 11 | 34.28 |
| 12 | 33.62 |
| 13 | 19.24 |
| 14 | 20.76 |
| 15 | 16.26 |
| 16 | 25.36 |
| 17 | 17.06 |
| 18 | 18.96 |
| 19 | 16.65 |
| 20 | 16.44 |
| 21 | 23.47 |
| 22 | 18.35 |
| 23 | 16.87 |
| 24 | 20.11 |
| 25 | 30.68 |
| 26 | 26.42 |
| 27 | 30.11 |
| 28 | 26.88 |
| 29 | 18.13 |
| 30 | 22.19 |
| 31 | 21.78 |